First-principles (PBEsol) data for a relaxed structure of CsBS2N, as listed in the Alexandria database.

a = 6.3376 Å, b = 6.3376 Å, c = 2.7390 Å
α = 90.00°, β = 90.00°, γ = 90.00°
Positions (direct):
Cs: 0.0000 0.0000 0.0000
B: 0.5000 0.5000 0.5000
S: 0.0000 0.5000 0.5000
S: 0.5000 0.0000 0.5000
N: 0.5000 0.5000 0.0000

Results
- space group = No. 123
- VASP energy (eV/atom) = -4.846
- formation energy from raw total energies (meV/atom) = 205
- D(E_F) (states/eV per atom) = 0.71
- total magnetization (μB per atom) = 0.186